Entry 1:
DFT (PBE) results for an optimized crystal structure of TbYHo6.

a = 6.528 Å, b = 6.705 Å, c = 6.900 Å
α = 118.82°, β = 103.54°, γ = 90.30°
Space group P-1 (No. 2)
Inequivalent atoms, fractional coordinates:
Tb: 0.000 0.000 0.000 [1 per cell]
Y: 0.500 0.000 0.000 [1 per cell]
Ho: 0.229 0.905 0.478 [2 per cell]
Ho: 0.250 0.453 0.000 [2 per cell]
Ho: 0.269 0.426 0.521 [2 per cell]

Computed properties:
Energy above the most stable polymorph in this dataset: 18.02 kJ/mol of atoms

Entry 2:
DFT (PBE) results for an optimized crystal structure of TbY4Ho2.

a = 16.701 Å, b = 3.545 Å, c = 8.725 Å
α = 90.00°, β = 119.58°, γ = 90.00°
Space group C2/m (No. 12)
Inequivalent atoms, fractional coordinates:
Tb: 0.000 0.000 0.000 [2 per cell]
Y: 0.140 0.500 0.833 [4 per cell]
Y: 0.204 0.500 0.294 [4 per cell]
Ho: 0.070 0.000 0.430 [4 per cell]

Computed properties:
Energy above the most stable polymorph in this dataset: 0.00 kJ/mol of atoms

Entry 3:
DFT (PBE) results for an optimized crystal structure of TbYHo5.

a = 5.766 Å, b = 8.592 Å, c = 11.909 Å
α = 90.00°, β = 90.00°, γ = 90.00°
Space group Immm (No. 71)
Inequivalent atoms, fractional coordinates:
Tb: 0.000 0.000 0.000 [2 per cell]
Y: 0.000 0.000 0.500 [2 per cell]
Ho: 0.000 0.000 0.255 [4 per cell]
Ho: 0.000 0.322 0.500 [4 per cell]
Ho: 0.000 0.500 0.000 [2 per cell]

Computed properties:
Energy above the most stable polymorph in this dataset: 91.62 kJ/mol of atoms

Entry 4:
DFT (PBE) results for an optimized crystal structure of TbY8Ho3.

a = 6.131 Å, b = 6.154 Å, c = 10.709 Å
α = 90.24°, β = 90.41°, γ = 109.03°
Space group P-1 (No. 2)
Inequivalent atoms, fractional coordinates:
Tb: 0.000 0.000 0.000 [1 per cell]
Y: 0.000 0.000 0.334 [2 per cell]
Y: 0.000 0.500 0.166 [2 per cell]
Y: 0.500 0.000 0.166 [2 per cell]
Y: 0.500 0.500 0.334 [2 per cell]
Ho: 0.000 0.500 0.500 [1 per cell]
Ho: 0.500 0.000 0.500 [1 per cell]
Ho: 0.500 0.500 0.000 [1 per cell]

Formation energy (computed, eV per formula unit): 1.7 0.2 8.0 0.3
Fermi-level density of states (computed, states/eV per cell): 14.04 23.68 15.01 16.94